DFT (PBE) results for crystalline CeHoI4 at its relaxed geometry.

V: 463.5 Å³/cell
Formation energy from raw total energies: -1175 meV per atom
Fermi-level density of states: 1.582 states/eV/atom
Final energy: -3.96 eV per atom

a b c (Å): 8.694 8.694 8.694
angles (deg): 120.64 119.71 89.70
Sites, in units of the cell vectors:
Ce  0.500  0.000  0.000
Ce  0.500  0.500  0.500
Ho  0.000  0.000  0.000
Ho  0.500  0.000  0.500
I  0.227  0.249  0.978
I  0.229  0.751  0.478
I  0.239  0.243  0.504
I  0.239  0.735  0.996
I  0.761  0.265  0.004
I  0.761  0.757  0.496
I  0.771  0.249  0.522
I  0.773  0.751  0.022

DFT (PBE) results for crystalline CeHoI5 at its relaxed geometry.

V: 593.1 Å³/cell
Formation energy from raw total energies: -1309 meV per atom
Fermi-level density of states: 0.852 states/eV/atom
Final energy: -3.92 eV per atom

a b c (Å): 9.329 4.264 14.962
angles (deg): 90.00 94.80 90.00
Sites, in units of the cell vectors:
Ce  0.100  0.250  0.149
Ce  0.900  0.750  0.851
Ho  0.413  0.750  0.344
Ho  0.587  0.250  0.656
I  0.074  0.750  0.311
I  0.145  0.250  0.929
I  0.324  0.250  0.481
I  0.357  0.750  0.134
I  0.372  0.750  0.704
I  0.628  0.250  0.296
I  0.643  0.250  0.866
I  0.676  0.750  0.519
I  0.855  0.750  0.071
I  0.926  0.250  0.689